# Ce2PmHf, relaxed, DFT GGA-PBE
# Symmetry   R-3m, No. 166
# Offset from the most stable computed form   183 meV per atom
# Crystal system   trigonal
# E_form   1.3 eV per formula unit
# Volume   109 Å³ per cell
# Final energy   -25.3 eV/cell
data_Ce2PmHf
_symmetry_space_group_name_H-M 'P 1'
_symmetry_Int_Tables_number 1
_cell_length_a 3.211
_cell_length_b 3.211
_cell_length_c 12.312
_cell_angle_alpha 82.51
_cell_angle_beta 82.51
_cell_angle_gamma 60.00
loop_
_symmetry_equiv_pos_as_xyz
'x,y,z'
loop_
_atom_site_label
_atom_site_type_symbol
_atom_site_fract_x
_atom_site_fract_y
_atom_site_fract_z
Pm1 Pm 0.500 0.500 0.500
Ce1 Ce 0.080 0.080 0.760
Ce2 Ce 0.920 0.920 0.240
Hf1 Hf 0.000 0.000 0.000

# MgAsPb2, relaxed, DFT GGA-PBE
# Symmetry   C2/m, No. 12
# Offset from the most stable computed form   198 meV per atom
# Crystal system   monoclinic
# E_form   0.4 eV per formula unit
# Volume   106 Å³ per cell
# Final energy   -13.3 eV/cell
data_MgAsPb2
_symmetry_space_group_name_H-M 'P 1'
_symmetry_Int_Tables_number 1
_cell_length_a 5.588
_cell_length_b 6.473
_cell_length_c 3.384
_cell_angle_alpha 75.33
_cell_angle_beta 88.92
_cell_angle_gamma 115.26
loop_
_symmetry_equiv_pos_as_xyz
'x,y,z'
loop_
_atom_site_label
_atom_site_type_symbol
_atom_site_fract_x
_atom_site_fract_y
_atom_site_fract_z
Pb1 Pb 0.000 0.000 0.000
Pb2 Pb 0.500 0.000 0.500
As1 As 0.000 0.500 0.500
Mg1 Mg 0.500 0.500 0.000

# FeAg3Te, relaxed, DFT GGA-PBE
# Symmetry   Pm-3m, No. 221
# Offset from the most stable computed form   0 meV per atom
# Crystal system   cubic
# E_form (uncorrected)   0.8202 eV/atom
# Volume   118 Å³ per cell
# Final energy   -16.1 eV/cell
data_FeAg3Te
_symmetry_space_group_name_H-M 'P 1'
_symmetry_Int_Tables_number 1
_cell_length_a 4.909
_cell_length_b 4.909
_cell_length_c 4.909
_cell_angle_alpha 90.00
_cell_angle_beta 90.00
_cell_angle_gamma 90.00
loop_
_symmetry_equiv_pos_as_xyz
'x,y,z'
loop_
_atom_site_label
_atom_site_type_symbol
_atom_site_fract_x
_atom_site_fract_y
_atom_site_fract_z
Ag1 Ag 0.000 0.000 0.500
Ag2 Ag 0.000 0.500 0.000
Ag3 Ag 0.500 0.000 0.000
Te1 Te 0.500 0.500 0.500
Fe1 Fe 0.000 0.000 0.000

# Ca2LaCl, relaxed, DFT GGA-PBE
# Symmetry   Imm2, No. 44
# Offset from the most stable computed form   239 meV per atom
# Crystal system   orthorhombic
# E_form (uncorrected)   -0.5710 eV/atom
# Volume   142 Å³ per cell
# Final energy   -13.1 eV/cell
data_Ca2LaCl
_symmetry_space_group_name_H-M 'P 1'
_symmetry_Int_Tables_number 1
_cell_length_a 7.031
_cell_length_b 7.031
_cell_length_c 7.031
_cell_angle_alpha 149.95
_cell_angle_beta 124.53
_cell_angle_gamma 64.38
loop_
_symmetry_equiv_pos_as_xyz
'x,y,z'
loop_
_atom_site_label
_atom_site_type_symbol
_atom_site_fract_x
_atom_site_fract_y
_atom_site_fract_z
Ca1 Ca 0.695 0.195 0.500
Ca2 Ca 0.001 0.001 0.000
Cl1 Cl 0.504 0.504 0.000
La1 La 0.300 0.800 0.500

# Ho3Tm6Al, relaxed, DFT GGA-PBE
# Symmetry   R-3, No. 148
# Crystal system   trigonal
# E_form   1.2 eV per formula unit
# Volume   613 Å³ per cell
# Final energy   -86.2 eV/cell
data_Ho3Tm6Al
_symmetry_space_group_name_H-M 'P 1'
_symmetry_Int_Tables_number 1
_cell_length_a 8.495
_cell_length_b 8.495
_cell_length_c 8.495
_cell_angle_alpha 90.27
_cell_angle_beta 90.27
_cell_angle_gamma 90.27
loop_
_symmetry_equiv_pos_as_xyz
'x,y,z'
loop_
_atom_site_label
_atom_site_type_symbol
_atom_site_fract_x
_atom_site_fract_y
_atom_site_fract_z
Ho1 Ho 0.256 0.738 0.110
Ho2 Ho 0.738 0.110 0.256
Ho3 Ho 0.110 0.256 0.738
Ho4 Ho 0.890 0.744 0.262
Ho5 Ho 0.262 0.890 0.744
Ho6 Ho 0.744 0.262 0.890
Tm1 Tm 0.491 0.173 0.602
Tm2 Tm 0.151 0.038 0.375
Tm3 Tm 0.375 0.151 0.038
Tm4 Tm 0.625 0.849 0.962
Tm5 Tm 0.398 0.509 0.827
Tm6 Tm 0.173 0.602 0.491
Tm7 Tm 0.962 0.625 0.849
Tm8 Tm 0.602 0.491 0.173
Tm9 Tm 0.038 0.375 0.151
Tm10 Tm 0.827 0.398 0.509
Tm11 Tm 0.509 0.827 0.398
Tm12 Tm 0.849 0.962 0.625
Al1 Al 0.000 0.000 0.000
Al2 Al 0.500 0.500 0.500

# Dy2Hf, relaxed, DFT GGA-PBE
# Symmetry   C2/m, No. 12
# Crystal system   monoclinic
# E_form   0.8 eV per formula unit
# Volume   84 Å³ per cell
# Final energy   -18.4 eV/cell
data_Dy2Hf
_symmetry_space_group_name_H-M 'P 1'
_symmetry_Int_Tables_number 1
_cell_length_a 3.953
_cell_length_b 3.953
_cell_length_c 6.053
_cell_angle_alpha 109.24
_cell_angle_beta 109.24
_cell_angle_gamma 89.96
loop_
_symmetry_equiv_pos_as_xyz
'x,y,z'
loop_
_atom_site_label
_atom_site_type_symbol
_atom_site_fract_x
_atom_site_fract_y
_atom_site_fract_z
Hf1 Hf 0.500 0.500 0.000
Dy1 Dy 0.845 0.845 0.691
Dy2 Dy 0.155 0.155 0.309

# La4Nd2Tm5, relaxed, DFT GGA-PBE
# Symmetry   C2/m, No. 12
# Offset from the most stable computed form   0 meV per atom
# Crystal system   monoclinic
# E_form   1.0 eV per formula unit
# Volume   372 Å³ per cell
# Final energy   -50.6 eV/cell
data_La4Nd2Tm5
_symmetry_space_group_name_H-M 'P 1'
_symmetry_Int_Tables_number 1
_cell_length_a 5.734
_cell_length_b 6.721
_cell_length_c 10.059
_cell_angle_alpha 90.47
_cell_angle_beta 106.56
_cell_angle_gamma 90.00
loop_
_symmetry_equiv_pos_as_xyz
'x,y,z'
loop_
_atom_site_label
_atom_site_type_symbol
_atom_site_fract_x
_atom_site_fract_y
_atom_site_fract_z
Tm1 Tm 0.789 0.598 0.579
Tm2 Tm 0.131 0.881 0.262
Tm3 Tm 0.869 0.119 0.738
Tm4 Tm 0.500 0.000 0.000
Tm5 Tm 0.211 0.402 0.421
Nd1 Nd 0.400 0.440 0.799
Nd2 Nd 0.600 0.560 0.201
La1 La 0.023 0.288 0.045
La2 La 0.693 0.082 0.387
La3 La 0.977 0.712 0.955
La4 La 0.307 0.918 0.613

# Ce2AlHg3, relaxed, DFT GGA-PBE
# Symmetry   Pmm2, No. 25
# Crystal system   orthorhombic
# E_form   -2.1 eV per formula unit
# Volume   148 Å³ per cell
# Final energy   -18.6 eV/cell
data_Ce2AlHg3
_symmetry_space_group_name_H-M 'P 1'
_symmetry_Int_Tables_number 1
_cell_length_a 3.492
_cell_length_b 4.934
_cell_length_c 8.564
_cell_angle_alpha 90.00
_cell_angle_beta 90.00
_cell_angle_gamma 90.00
loop_
_symmetry_equiv_pos_as_xyz
'x,y,z'
loop_
_atom_site_label
_atom_site_type_symbol
_atom_site_fract_x
_atom_site_fract_y
_atom_site_fract_z
Hg1 Hg 0.500 0.500 0.655
Hg2 Hg 0.500 0.000 0.836
Hg3 Hg 0.500 0.000 0.177
Al1 Al 0.500 0.500 0.331
Ce1 Ce 0.000 0.500 0.003
Ce2 Ce 0.000 0.000 0.498

# CuAu2Br, relaxed, DFT GGA-PBE
# Symmetry   P4mm, No. 99
# Offset from the most stable computed form   109 meV per atom
# Crystal system   tetragonal
# E_form (uncorrected)   0.1652 eV/atom
# Volume   79 Å³ per cell
# Final energy   -11.7 eV/cell
data_CuAu2Br
_symmetry_space_group_name_H-M 'P 1'
_symmetry_Int_Tables_number 1
_cell_length_a 3.431
_cell_length_b 3.431
_cell_length_c 6.717
_cell_angle_alpha 90.00
_cell_angle_beta 90.00
_cell_angle_gamma 90.00
loop_
_symmetry_equiv_pos_as_xyz
'x,y,z'
loop_
_atom_site_label
_atom_site_type_symbol
_atom_site_fract_x
_atom_site_fract_y
_atom_site_fract_z
Au1 Au 0.500 0.500 0.190
Au2 Au 0.000 0.000 0.978
Br1 Br 0.000 0.000 0.551
Cu1 Cu 0.500 0.500 0.781

# NdZn2, relaxed, DFT GGA-PBE
# Symmetry   C2/m, No. 12
# Crystal system   monoclinic
# E_form   -1.1 eV per formula unit
# Volume   129 Å³ per cell
# Final energy   -16.8 eV/cell
data_NdZn2
_symmetry_space_group_name_H-M 'P 1'
_symmetry_Int_Tables_number 1
_cell_length_a 4.600
_cell_length_b 5.784
_cell_length_c 5.784
_cell_angle_alpha 80.18
_cell_angle_beta 66.47
_cell_angle_gamma 66.47
loop_
_symmetry_equiv_pos_as_xyz
'x,y,z'
loop_
_atom_site_label
_atom_site_type_symbol
_atom_site_fract_x
_atom_site_fract_y
_atom_site_fract_z
Nd1 Nd 0.540 0.210 0.710
Nd2 Nd 0.460 0.790 0.290
Zn1 Zn 0.165 0.392 0.278
Zn2 Zn 0.165 0.778 0.892
Zn3 Zn 0.835 0.608 0.722
Zn4 Zn 0.835 0.222 0.108